# 1
3
Lattice="6.0293 -0.0212 -0.0064 4.1807 4.3445 0.0064 -5.2323 -1.8611 2.3479" Properties=species:S:1:pos:R:3 comment="PBE ZnPtPb, optimized geometry" delta_e_f_mev_per_atom=-145 n_ef_per_ev_atom=0.326 pbc="T T T"
Pt 3.1097 1.3167 0.0000
Pb 10.0871 4.2712 0.0000
Zn 7.2233 3.0586 0.0000


# 2
5
Lattice="-1.6900 2.0180 4.0294 -4.1568 -2.3600 -0.5615 1.7672 -3.7339 2.6112" Properties=species:S:1:pos:R:3 comment="PBE RbZn2BiH, optimized geometry" n_ef_per_ev_atom=0.553 energy_ev_per_atom=-1.8087 pbc="T T T"
Bi -2.0398 -2.0380 3.0395
Zn -2.0784 -1.1800 -0.2808
Rb 0.8836 -1.8669 1.3056
H 0.0000 0.0000 0.0000
Zn -0.8450 1.0090 2.0147


# 3
10
Lattice="-4.2665 0.3498 1.4962 -1.5344 -0.7361 -4.2033 -0.1833 -10.0559 1.8279" Properties=species:S:1:pos:R:3 comment="PBE Ac2Ge4Pt3Au, optimized geometry" delta_e_f_mev_per_atom=-871 n_ef_per_ev_atom=0.633 pbc="T T T"
Ac -0.9049 -7.9215 -0.7286
Ge -2.9004 -0.1932 -1.3536
Pt -0.7889 -1.5593 -1.8851
Au -2.9921 -5.2211 -0.4396
Ge -0.8343 -4.0475 -1.4328
Pt -0.0917 -5.0280 0.9139
Ac -2.1789 -2.3276 1.2030
Pt -2.2949 -8.6898 2.3594
Ge -2.2495 -6.2016 1.9072
Ge 0.0000 0.0000 0.0000


# 4
4
Lattice="-1.9160 2.4092 2.8572 -4.0685 -0.5920 0.8576 -0.3172 -3.8506 6.1210" Properties=species:S:1:pos:R:3 comment="PBE AcPuPS, optimized geometry" e_form_raw_ev_per_atom=-1.602 n_ef_per_ev_atom=2.238 pbc="T T T"
Pu -3.1553 -1.0049 4.9049
Ac -5.9788 1.8021 3.7314
P -1.5326 -0.6221 2.5835
S -4.7704 -1.4079 7.2485